## Sc2TePb (PBEsol)

Data for Sc2TePb after structural relaxation.

Lattice parameters (Å, degrees): 3.7738 4.6231 5.8433 89.98 108.84 90.00
Element x y z (fractional)
Sc 0.9922 0.8747 0.9845
Sc 0.7571 0.3751 0.5143
Te 0.4942 0.3749 0.9884
Pb 0.2564 0.8752 0.5129

Results
- density of states at the Fermi level (states/eV/cell) = 2.01
- size of the total moment (μB per atom) = 0.00
- polymorph energy (0 for the lowest one) (eV/atom) = 0.126
- energy relative to the elements, uncorrected (eV/atom) = -0.677

***

## Sc2TePb (PBEsol)

Data for Sc2TePb after structural relaxation.

Lattice parameters (Å, degrees): 4.1403 4.1403 5.8233 90.00 90.00 90.00
Element x y z (fractional)
Sc 0.0000 0.0000 0.5000
Sc 0.5000 0.5000 0.0000
Te 0.0000 0.0000 0.0000
Pb 0.5000 0.5000 0.5000

Results
- density of states at the Fermi level (states/eV/cell) = 1.47
- size of the total moment (μB per atom) = 0.00
- polymorph energy (0 for the lowest one) (eV/atom) = 0.001
- energy relative to the elements, uncorrected (eV/atom) = -0.803

***

## Sc2TePb (PBEsol)

Data for Sc2TePb after structural relaxation.

Lattice parameters (Å, degrees): 3.4914 3.4914 7.6600 90.00 90.00 90.00
Last column: magnetic moment on the atom in μB.
Element x y z (fractional)
Te 0.5000 0.5000 0.0000  -0.01
Sc 0.0000 0.0000 0.7695  0.29
Sc 0.0000 0.0000 0.2305  0.29
Pb 0.5000 0.5000 0.5000  0.00

Results
- density of states at the Fermi level (states/eV/cell) = 4.48
- size of the total moment (μB per atom) = 0.22
- polymorph energy (0 for the lowest one) (eV/atom) = 0.151
- energy relative to the elements, uncorrected (eV/atom) = -0.653